[1]
Density functional theory data (PBE) for a geometry-optimized Sr3Ge2Pd3 structure.

Geometry as CIF:
```
data_Sr3Ge2Pd3
_space_group_name_H-M_alt 'P 1'
_space_group_IT_number 1
_cell_length_a 6.103
_cell_length_b 6.103
_cell_length_c 15.734
_cell_angle_alpha 90.00
_cell_angle_beta 90.00
_cell_angle_gamma 136.67
loop_
_space_group_symop_operation_xyz
'x,y,z'
loop_
_atom_site_label
_atom_site_fract_x
_atom_site_fract_y
_atom_site_fract_z
Sr1 0.074 0.926 0.605
Sr2 0.074 0.926 0.895
Sr3 0.366 0.634 0.750
Sr4 0.634 0.366 0.250
Sr5 0.926 0.074 0.105
Sr6 0.926 0.074 0.395
Ge1 0.214 0.786 0.105
Ge2 0.214 0.786 0.395
Ge3 0.786 0.214 0.605
Ge4 0.786 0.214 0.895
Pd1 0.323 0.677 0.250
Pd2 0.328 0.672 0.536
Pd3 0.328 0.672 0.964
Pd4 0.672 0.328 0.036
Pd5 0.672 0.328 0.464
Pd6 0.677 0.323 0.750
```

Energy above the lowest structure with this stoichiometry, meV/atom: 51
Energy of formation from the pure elements, kJ/mol of atoms: -65.5


[2]
Density functional theory data (PBE) for a geometry-optimized MgAuO2 structure.

Geometry as CIF:
```
data_MgAuO2
_space_group_name_H-M_alt 'P 1'
_space_group_IT_number 1
_cell_length_a 5.969
_cell_length_b 5.969
_cell_length_c 5.969
_cell_angle_alpha 34.86
_cell_angle_beta 34.86
_cell_angle_gamma 34.86
loop_
_space_group_symop_operation_xyz
'x,y,z'
loop_
_atom_site_label
_atom_site_fract_x
_atom_site_fract_y
_atom_site_fract_z
Mg1 0.000 0.000 0.000
Au1 0.500 0.500 0.500
O1 0.112 0.112 0.112
O2 0.888 0.888 0.888
```

Formation energy (no corrections), meV per atom: -433


[3]
Density functional theory data (PBE) for a geometry-optimized AsIrN2O structure.

Geometry as CIF:
```
data_AsIrN2O
_space_group_name_H-M_alt 'P 1'
_space_group_IT_number 1
_cell_length_a 3.843
_cell_length_b 3.843
_cell_length_c 4.080
_cell_angle_alpha 90.00
_cell_angle_beta 90.00
_cell_angle_gamma 90.00
loop_
_space_group_symop_operation_xyz
'x,y,z'
loop_
_atom_site_label
_atom_site_fract_x
_atom_site_fract_y
_atom_site_fract_z
As1 0.000 0.000 0.000
Ir1 0.500 0.500 0.500
N1 0.000 0.500 0.500
N2 0.500 0.000 0.500
O1 0.500 0.500 0.000
```

Formation energy (no corrections), meV per atom: 978


[4]
Density functional theory data (PBE) for a geometry-optimized CdSiHO2 structure.

Geometry as CIF:
```
data_CdSiHO2
_space_group_name_H-M_alt 'P 1'
_space_group_IT_number 1
_cell_length_a 4.175
_cell_length_b 4.175
_cell_length_c 3.291
_cell_angle_alpha 90.00
_cell_angle_beta 90.00
_cell_angle_gamma 90.00
loop_
_space_group_symop_operation_xyz
'x,y,z'
loop_
_atom_site_label
_atom_site_fract_x
_atom_site_fract_y
_atom_site_fract_z
Cd1 0.000 0.000 0.000
Si1 0.500 0.500 0.000
H1 0.000 0.000 0.500
O1 0.000 0.500 0.500
O2 0.500 0.000 0.500
```


[5]
Density functional theory data (PBE) for a geometry-optimized Ga2Cu2Ir structure.

Geometry as CIF:
```
data_Ga2Cu2Ir
_space_group_name_H-M_alt 'P 1'
_space_group_IT_number 1
_cell_length_a 6.863
_cell_length_b 6.863
_cell_length_c 2.908
_cell_angle_alpha 90.00
_cell_angle_beta 90.00
_cell_angle_gamma 90.00
loop_
_space_group_symop_operation_xyz
'x,y,z'
loop_
_atom_site_label
_atom_site_fract_x
_atom_site_fract_y
_atom_site_fract_z
Ga1 0.178 0.322 0.000
Ga2 0.322 0.822 0.000
Ga3 0.678 0.178 0.000
Ga4 0.822 0.678 0.000
Cu1 0.123 0.623 0.500
Cu2 0.377 0.123 0.500
Cu3 0.623 0.877 0.500
Cu4 0.877 0.377 0.500
Ir1 0.000 0.000 0.500
Ir2 0.500 0.500 0.500
```

Energy above the lowest structure with this stoichiometry, meV/atom: 210
Energy of formation from the pure elements, kJ/mol of atoms: 0.6


[6]
Density functional theory data (PBE) for a geometry-optimized Bi2AsPd8 structure.

Geometry as CIF:
```
data_Bi2AsPd8
_space_group_name_H-M_alt 'P 1'
_space_group_IT_number 1
_cell_length_a 7.874
_cell_length_b 7.874
_cell_length_c 5.761
_cell_angle_alpha 100.08
_cell_angle_beta 100.08
_cell_angle_gamma 33.33
loop_
_space_group_symop_operation_xyz
'x,y,z'
loop_
_atom_site_label
_atom_site_fract_x
_atom_site_fract_y
_atom_site_fract_z
Bi1 0.203 0.203 0.181
Bi2 0.797 0.797 0.819
As1 0.500 0.500 0.500
Pd1 0.023 0.023 0.263
Pd2 0.165 0.165 0.698
Pd3 0.348 0.348 0.592
Pd4 0.416 0.416 0.086
Pd5 0.584 0.584 0.914
Pd6 0.652 0.652 0.408
Pd7 0.835 0.835 0.302
Pd8 0.977 0.977 0.737
```

Energy of formation from the pure elements, kJ/mol of atoms: -25.8


[7]
Density functional theory data (PBE) for a geometry-optimized Zr4Ga3 structure.

Geometry as CIF:
```
data_Zr4Ga3
_space_group_name_H-M_alt 'P 1'
_space_group_IT_number 1
_cell_length_a 10.524
_cell_length_b 10.524
_cell_length_c 10.524
_cell_angle_alpha 159.54
_cell_angle_beta 159.54
_cell_angle_gamma 29.09
loop_
_space_group_symop_operation_xyz
'x,y,z'
loop_
_atom_site_label
_atom_site_fract_x
_atom_site_fract_y
_atom_site_fract_z
Zr1 0.070 0.070 0.000
Zr2 0.348 0.348 0.000
Zr3 0.652 0.652 0.000
Zr4 0.930 0.930 0.000
Ga1 0.211 0.211 0.000
Ga2 0.500 0.500 0.000
Ga3 0.789 0.789 0.000
```

Energy of formation from the pure elements, kJ/mol of atoms: -25.6


[8]
Density functional theory data (PBE) for a geometry-optimized Ce2Cd2Pd5 structure.

Geometry as CIF:
```
data_Ce2Cd2Pd5
_space_group_name_H-M_alt 'P 1'
_space_group_IT_number 1
_cell_length_a 8.643
_cell_length_b 8.643
_cell_length_c 8.643
_cell_angle_alpha 75.92
_cell_angle_beta 137.23
_cell_angle_gamma 120.61
loop_
_space_group_symop_operation_xyz
'x,y,z'
loop_
_atom_site_label
_atom_site_fract_x
_atom_site_fract_y
_atom_site_fract_z
Ce1 0.020 0.121 0.142
Ce2 0.020 0.379 0.399
Ce3 0.980 0.621 0.601
Ce4 0.980 0.879 0.858
Cd1 0.393 0.393 0.000
Cd2 0.393 0.893 0.500
Cd3 0.532 0.792 0.240
Cd4 0.552 0.292 0.760
Pd1 0.012 0.412 0.896
Pd2 0.012 0.616 0.101
Pd3 0.093 0.000 0.593
Pd4 0.406 0.500 0.407
Pd5 0.515 0.116 0.104
Pd6 0.515 0.912 0.899
Pd7 0.518 0.247 0.388
Pd8 0.518 0.630 0.771
Pd9 0.859 0.130 0.612
Pd10 0.859 0.747 0.229
```

Energy of formation from the pure elements, kJ/mol of atoms: -43.5


| no. | uncorrected energy (eV/atom) | Fermi-level density of states (states/eV/atom) |
| --- | --- | --- |
| 1 | -4.411 | 0.640 |
| 2 | -4.130 | 0.684 |
| 3 | -6.045 | 0.693 |
| 4 | -3.475 | 0.388 |
| 5 | -4.615 | 0.224 |
| 6 | -5.172 | 0.504 |
| 7 | -6.447 | 0.974 |
| 8 | -4.858 | 1.395 |